No. 1
Below is a relaxed structure of K2SrTl2, with properties calculated at the GGA-PBE level.

Calculated density ... 4.749 g cm⁻³
Density of states at the Fermi level ... 0.489 states/eV per atom
Energy relative to the elements ... -0.01 eV per atom
Symmetry ... No. 127

POSCAR file:
```
K2SrTl2
1.0
-3.290 7.347 5.936
-8.659 -4.856 1.212
1.515 -1.904 3.196
Sr Tl K
2 4 4
direct
0.000 0.000 0.000
0.500 0.500 0.000
0.182 0.682 0.500
0.682 0.818 0.500
0.818 0.318 0.500
0.318 0.182 0.500
0.379 0.879 0.000
0.879 0.621 0.000
0.621 0.121 0.000
0.121 0.379 0.000
```

No. 2
Below is a relaxed structure of KSrTl, with properties calculated at the GGA-PBE level.

Calculated density ... 4.056 g cm⁻³
Density of states at the Fermi level ... 0.585 states/eV per atom
Energy relative to the elements ... -0.15 eV per atom
Symmetry ... No. 107

POSCAR file:
```
KSrTl
1.0
-3.612 -2.859 -6.587
0.441 -2.172 -7.726
0.724 -4.203 0.046
K Sr Tl
1 1 1
direct
0.023 0.023 0.977
0.292 0.292 0.708
0.685 0.685 0.315
```

No. 3
Below is a relaxed structure of K2SrTl5, with properties calculated at the GGA-PBE level.

Calculated density ... 7.127 g cm⁻³
Density of states at the Fermi level ... 0.610 states/eV per atom
Energy relative to the elements ... -0.16 eV per atom
Symmetry ... No. 139

POSCAR file:
```
K2SrTl5
1.0
5.387 0.000 -1.481
-0.407 5.372 -1.481
-0.231 -0.249 9.699
K Sr Tl
2 1 5
direct
0.746 0.746 0.492
0.254 0.254 0.508
0.000 0.000 0.000
0.500 0.500 0.000
0.888 0.388 0.776
0.388 0.888 0.776
0.112 0.612 0.224
0.612 0.112 0.224
```

No. 4
Below is a relaxed structure of K2SrTl, with properties calculated at the GGA-PBE level.

Calculated density ... 3.295 g cm⁻³
Density of states at the Fermi level ... 0.944 states/eV per atom
Energy relative to the elements ... 0.12 eV per atom
Symmetry ... No. 225

POSCAR file:
```
K2SrTl
1.0
1.189 -0.139 6.301
3.596 4.582 2.686
-2.703 4.342 3.870
Sr Tl K
1 1 2
direct
0.000 0.000 0.000
0.500 0.500 0.500
0.250 0.250 0.250
0.750 0.750 0.750
```

Question: The lowest density of states at the Fermi level belongs to which entry?
Answer: K2SrTl2

Question: What is the energy relative to the elements in the second record?
Answer: -0.15 eV per atom

Question: Number 2 is which compound?
Answer: KSrTl